Record 1
Computed, not measured: crystalline CsTlCd2Ag at its relaxed geometry at the PBE-GGA level of DFT.

Computed properties:
- VASP energy: -1.532 eV/atom
- Calculated volume: 35.04 Å³/atom
- SG: P4/mmm (123)
- DOS at the Fermi energy: 0.49 states/eV/atom

Lattice parameters (Å, degrees): 5.5494 5.5494 5.6896 90.00 90.00 90.00
Closest atoms and distances in Å follow each position.
Fractional positions:
Cs: 0.0000 0.0000 0.0000  4 Tl 3.92, 8 Cd 3.97
Tl: 0.5000 0.5000 0.0000  2 Ag 2.84
Cd: 0.0000 0.5000 0.5000  2 Ag 2.77
Cd: 0.5000 0.0000 0.5000  2 Ag 2.77
Ag: 0.5000 0.5000 0.5000  4 Cd 2.77, 2 Tl 2.84


Record 2
Computed, not measured: crystalline CsZr2CdAg at its relaxed geometry at the PBE-GGA level of DFT.

Computed properties:
- VASP energy: -2.353 eV/atom
- Calculated volume: 32.37 Å³/atom
- SG: P4/mmm (123)
- DOS at the Fermi energy: 1.48 states/eV/atom

Lattice parameters (Å, degrees): 5.2868 5.2868 5.7903 90.00 90.00 90.00
Closest atoms and distances in Å follow each position.
Fractional positions:
Cs: 0.0000 0.0000 0.0000  4 Zr 2.64, 2 Cd 2.90
Zr: 0.0000 0.5000 0.0000  2 Cs 2.64
Zr: 0.5000 0.0000 0.0000  2 Cs 2.64
Cd: 0.0000 0.0000 0.5000  2 Cs 2.90
Ag: 0.5000 0.5000 0.5000  4 Cd 3.74, 8 Zr 3.92


Record 3
Computed, not measured: crystalline CsZrCdAg2 at its relaxed geometry at the PBE-GGA level of DFT.

Computed properties:
- VASP energy: -1.452 eV/atom
- Calculated volume: 34.98 Å³/atom
- SG: P4/mmm (123)
- DOS at the Fermi energy: 1.19 states/eV/atom

Lattice parameters (Å, degrees): 5.6318 5.6318 5.5144 90.00 90.00 90.00
Closest atoms and distances in Å follow each position.
Fractional positions:
Cs: 0.0000 0.0000 0.0000  2 Zr 2.76, 4 Ag 2.82
Zr: 0.0000 0.0000 0.5000  2 Cs 2.76
Cd: 0.5000 0.5000 0.5000  8 Ag 3.94, 4 Zr 3.98
Ag: 0.0000 0.5000 0.0000  2 Cs 2.82
Ag: 0.5000 0.0000 0.0000  2 Cs 2.82


Record 4
Computed, not measured: crystalline Cd8CuAg6 at its relaxed geometry at the PBE-GGA level of DFT.

Computed properties:
- VASP energy: -1.780 eV/atom
- Calculated volume: 22.17 Å³/atom
- SG: P-3 (147)
- DOS at the Fermi energy: 0.22 states/eV/atom

Lattice parameters (Å, degrees): 7.0182 7.0182 7.7945 90.00 90.00 120.00
Closest atoms and distances in Å follow each position.
Fractional positions:
Cd: 0.0762 0.3756 0.3900  1 Ag 2.78, 4 Cd 2.96-3.01
Cd: 0.2995 0.9238 0.3900  1 Ag 2.78, 4 Cd 2.96-3.01
Cd: 0.3333 0.6667 0.7710  3 Cd 3.01, 6 Ag 3.02-3.06
Cd: 0.3756 0.2995 0.6100  1 Ag 2.78, 4 Cd 2.96-3.01
Cd: 0.6244 0.7005 0.3900  1 Ag 2.78, 4 Cd 2.96-3.01
Cd: 0.6667 0.3333 0.2290  3 Cd 3.01, 6 Ag 3.02-3.06
Cd: 0.7005 0.0762 0.6100  1 Ag 2.78, 4 Cd 2.96-3.01
Cd: 0.9238 0.6244 0.6100  1 Ag 2.78, 4 Cd 2.96-3.01
Cu: 0.0000 0.0000 0.0000  6 Ag 2.66
Ag: 0.1057 0.6984 0.0887  1 Cu 2.66, 1 Cd 2.78, 5 Ag 2.78-2.98
Ag: 0.3016 0.4073 0.0887  1 Cu 2.66, 1 Cd 2.78, 5 Ag 2.78-2.98
Ag: 0.4073 0.1057 0.9113  1 Cu 2.66, 1 Cd 2.78, 5 Ag 2.78-2.98
Ag: 0.5927 0.8943 0.0887  1 Cu 2.66, 1 Cd 2.78, 5 Ag 2.78-2.98
Ag: 0.6984 0.5927 0.9113  1 Cu 2.66, 1 Cd 2.78, 5 Ag 2.78-2.98
Ag: 0.8943 0.3016 0.9113  1 Cu 2.66, 1 Cd 2.78, 5 Ag 2.78-2.98